1:
Entry from Alexandria via LeMat-Bulk: K5Hg after structural relaxation (GGA-PBE).

a b c (Å): 9.899 9.899 6.506
angles (deg): 90.00 90.00 147.25
Element x y z (fractional)
K1 0.134 0.866 0.500
K2 0.614 0.386 0.000
K3 0.331 0.669 0.000
K4 0.810 0.190 0.500
K5 0.472 0.528 0.500
Hg1 0.973 0.027 0.000

Computed properties:
Space group: Amm2

=====

2:
Entry from Alexandria via LeMat-Bulk: K5Hg after structural relaxation (GGA-PBE).

a b c (Å): 9.132 9.132 10.641
angles (deg): 115.41 115.41 90.00
Element x y z (fractional)
K1 0.019 0.519 0.704
K2 0.981 0.481 0.296
K3 0.315 0.815 0.296
K4 0.815 0.981 0.296
K5 0.185 0.019 0.704
K6 0.481 0.315 0.296
K7 0.500 0.500 0.000
K8 0.519 0.685 0.704
K9 0.000 0.000 0.000
K10 0.685 0.185 0.704
Hg1 0.250 0.250 0.500
Hg2 0.750 0.750 0.500

Computed properties:
Space group: I4/mcm

=====

Relative energies, meV/atom: 1 21; 2 0.

=====

1:
Entry from Alexandria via LeMat-Bulk: K13Hg2 after structural relaxation (GGA-PBE).

a b c (Å): 11.574 11.574 10.588
angles (deg): 56.87 56.87 60.00
Element x y z (fractional)
K1 0.794 0.794 0.215
K2 0.376 0.376 0.243
K3 0.500 0.500 0.500
K4 0.005 0.376 0.243
K5 0.624 0.624 0.757
K6 0.206 0.206 0.785
K7 0.794 0.198 0.215
K8 0.198 0.794 0.215
K9 0.206 0.802 0.785
K10 0.995 0.624 0.757
K11 0.376 0.005 0.243
K12 0.624 0.995 0.757
K13 0.802 0.206 0.785
Hg1 0.361 0.361 0.917
Hg2 0.639 0.639 0.083

Computed properties:
Space group: R-3m

=====

2:
Entry from Alexandria via LeMat-Bulk: K13Hg2 after structural relaxation (GGA-PBE).

a b c (Å): 8.652 10.265 11.679
angles (deg): 115.13 89.09 102.06
Element x y z (fractional)
K1 0.047 0.452 0.648
K2 0.448 0.775 0.863
K3 0.231 0.419 0.010
K4 0.552 0.225 0.137
K5 0.716 0.091 0.741
K6 0.173 0.976 0.651
K7 0.284 0.909 0.259
K8 0.486 0.655 0.429
K9 0.953 0.548 0.352
K10 0.769 0.581 0.990
K11 0.514 0.345 0.571
K12 0.827 0.024 0.349
K13 0.000 0.000 0.000
Hg1 0.200 0.283 0.318
Hg2 0.800 0.717 0.682

Computed properties:
Space group: P-1

=====

Relative energies, meV/atom: 1 37; 2 0.

=====

1:
Entry from Alexandria via LeMat-Bulk: KHg6 after structural relaxation (GGA-PBE).

a b c (Å): 5.492 10.993 13.895
angles (deg): 90.00 90.00 90.00
Element x y z (fractional)
Hg1 0.750 0.858 0.449
Hg2 0.250 0.857 0.589
Hg3 0.250 0.602 0.501
Hg4 0.250 0.102 0.145
Hg5 0.750 0.143 0.411
Hg6 0.250 0.496 0.853
Hg7 0.750 0.266 0.696
Hg8 0.250 0.142 0.551
Hg9 0.750 0.642 0.949
Hg10 0.250 0.734 0.304
Hg11 0.250 0.358 0.051
Hg12 0.750 0.398 0.499
Hg13 0.750 0.996 0.647
Hg14 0.250 0.004 0.353
Hg15 0.750 0.102 0.999
Hg16 0.750 0.898 0.855
Hg17 0.250 0.766 0.804
Hg18 0.750 0.234 0.196
Hg19 0.750 0.504 0.147
Hg20 0.750 0.357 0.911
Hg21 0.250 0.398 0.645
Hg22 0.250 0.643 0.089
Hg23 0.750 0.602 0.355
Hg24 0.250 0.898 0.001
K1 0.750 0.633 0.679
K2 0.750 0.867 0.179
K3 0.250 0.367 0.321
K4 0.250 0.133 0.821

Computed properties:
Space group: Pnma

=====

2:
Entry from Alexandria via LeMat-Bulk: KHg6 after structural relaxation (GGA-PBE).

a b c (Å): 7.477 7.477 7.477
angles (deg): 90.00 90.00 90.00
Element x y z (fractional)
Hg1 0.500 0.500 0.803
Hg2 0.500 0.197 0.500
Hg3 0.500 0.500 0.197
Hg4 0.197 0.500 0.500
Hg5 0.500 0.803 0.500
Hg6 0.803 0.500 0.500
K1 0.000 0.000 0.000

Computed properties:
Space group: Pm-3m

=====

Relative energies, meV/atom: 1 0; 2 257.

=====

1:
Entry from Alexandria via LeMat-Bulk: KHg6 after structural relaxation (GGA-PBE).

a b c (Å): 6.762 6.762 9.359
angles (deg): 90.00 90.00 90.00
Element x y z (fractional)
Hg1 0.168 0.668 0.640
Hg2 0.168 0.332 0.360
Hg3 0.668 0.832 0.640
Hg4 0.000 0.000 0.836
Hg5 0.668 0.168 0.360
Hg6 0.500 0.500 0.164
Hg7 0.832 0.332 0.640
Hg8 0.000 0.000 0.164
Hg9 0.832 0.668 0.360
Hg10 0.500 0.500 0.836
Hg11 0.332 0.832 0.360
Hg12 0.332 0.168 0.640
K1 0.500 0.000 0.000
K2 0.000 0.500 0.000

Computed properties:
Space group: P4/nbm

=====

2:
Entry from Alexandria via LeMat-Bulk: KHg6 after structural relaxation (GGA-PBE).

a b c (Å): 7.201 7.201 7.201
angles (deg): 109.47 109.47 109.47
Element x y z (fractional)
Hg1 0.250 0.750 0.500
Hg2 0.500 0.250 0.750
Hg3 0.500 0.750 0.250
Hg4 0.250 0.500 0.750
Hg5 0.750 0.500 0.250
Hg6 0.750 0.250 0.500
K1 0.000 0.000 0.000

Computed properties:
Space group: Im-3m

=====

Relative energies, meV/atom: 1 0; 2 105.

=====

1:
Entry from Alexandria via LeMat-Bulk: KHg5 after structural relaxation (GGA-PBE).

a b c (Å): 6.374 6.374 6.374
angles (deg): 60.00 60.00 60.00
Element x y z (fractional)
K1 0.000 0.000 0.000
Hg1 0.625 0.625 0.126
Hg2 0.126 0.625 0.625
Hg3 0.250 0.250 0.250
Hg4 0.625 0.625 0.625
Hg5 0.625 0.126 0.625

Computed properties:
Space group: F-43m

=====

2:
Entry from Alexandria via LeMat-Bulk: KHg5 after structural relaxation (GGA-PBE).

a b c (Å): 6.241 6.241 5.595
angles (deg): 90.00 90.00 120.00
Element x y z (fractional)
Hg1 0.000 0.500 0.500
Hg2 0.500 0.500 0.500
Hg3 0.667 0.333 0.000
Hg4 0.500 0.000 0.500
Hg5 0.333 0.667 0.000
K1 0.000 0.000 0.000

Computed properties:
Space group: P6/mmm

=====

Relative energies, meV/atom: 1 9; 2 0.

=====

1:
Entry from Alexandria via LeMat-Bulk: KHg5 after structural relaxation (GGA-PBE).

a b c (Å): 5.031 4.994 7.601
angles (deg): 109.18 90.00 90.00
Element x y z (fractional)
Hg1 0.500 0.500 0.000
Hg2 0.500 0.171 0.341
Hg3 0.000 0.327 0.654
Hg4 0.000 0.673 0.346
Hg5 0.500 0.829 0.659
K1 0.000 0.000 0.000

Computed properties:
Space group: Cmmm

=====

2:
Entry from Alexandria via LeMat-Bulk: KHg5 after structural relaxation (GGA-PBE).

a b c (Å): 4.117 4.117 10.615
angles (deg): 90.00 90.00 90.00
Element x y z (fractional)
Hg1 0.000 0.000 0.500
Hg2 0.000 0.000 0.803
Hg3 0.000 0.000 0.197
Hg4 0.500 0.500 0.653
Hg5 0.500 0.500 0.347
K1 0.500 0.500 0.000

Computed properties:
Space group: P4/mmm

=====

Relative energies, meV/atom: 1 0; 2 11.

=====

1:
Entry from Alexandria via LeMat-Bulk: KHg11 after structural relaxation (GGA-PBE).

a b c (Å): 10.267 10.267 10.267
angles (deg): 90.00 90.00 90.00
Element x y z (fractional)
Hg1 0.000 0.345 0.655
Hg2 0.733 0.733 0.500
Hg3 0.153 0.153 0.153
Hg4 0.345 0.000 0.345
Hg5 0.267 0.500 0.733
Hg6 0.267 0.267 0.500
Hg7 0.733 0.500 0.267
Hg8 0.500 0.267 0.733
Hg9 0.500 0.500 0.500
Hg10 0.847 0.153 0.847
Hg11 0.267 0.500 0.267
Hg12 0.500 0.733 0.733
Hg13 0.733 0.500 0.733
Hg14 0.847 0.847 0.847
Hg15 0.847 0.847 0.153
Hg16 0.345 0.655 0.000
Hg17 0.000 0.345 0.345
Hg18 0.655 0.345 0.000
Hg19 0.655 0.000 0.345
Hg20 0.733 0.267 0.500
Hg21 0.267 0.733 0.500
Hg22 0.500 0.267 0.267
Hg23 0.153 0.847 0.847
Hg24 0.655 0.000 0.655
Hg25 0.847 0.153 0.153
Hg26 0.345 0.000 0.655
Hg27 0.153 0.153 0.847
Hg28 0.345 0.345 0.000
Hg29 0.000 0.655 0.345
Hg30 0.153 0.847 0.153
Hg31 0.500 0.733 0.267
Hg32 0.000 0.655 0.655
Hg33 0.655 0.655 0.000
K1 0.000 0.000 0.500
K2 0.500 0.000 0.000
K3 0.000 0.500 0.000

Computed properties:
Space group: Pm-3m

=====

2:
Entry from Alexandria via LeMat-Bulk: KHg11 after structural relaxation (GGA-PBE).

a b c (Å): 3.336 10.823 10.823
angles (deg): 120.00 90.00 90.00
Element x y z (fractional)
Hg1 0.500 0.350 0.175
Hg2 0.000 0.333 0.667
Hg3 0.500 0.825 0.175
Hg4 0.500 0.825 0.650
Hg5 0.000 0.500 0.500
Hg6 0.000 0.000 0.500
Hg7 0.500 0.650 0.825
Hg8 0.500 0.175 0.825
Hg9 0.000 0.667 0.333
Hg10 0.500 0.175 0.350
Hg11 0.000 0.500 0.000
K1 0.000 0.000 0.000

Computed properties:
Space group: P6/mmm

=====

Relative energies, meV/atom: 1 0; 2 33.

=====

1:
Entry from Alexandria via LeMat-Bulk: K4Hg3 after structural relaxation (GGA-PBE).

a b c (Å): 4.976 14.490 14.490
angles (deg): 120.00 90.00 90.00
Element x y z (fractional)
K1 0.757 0.239 0.233
K2 0.749 0.515 0.133
K3 0.243 0.233 0.994
K4 0.749 0.618 0.485
K5 0.757 0.767 0.006
K6 0.251 0.133 0.618
K7 0.757 0.994 0.761
K8 0.251 0.485 0.867
K9 0.749 0.867 0.382
K10 0.243 0.006 0.239
K11 0.251 0.382 0.515
K12 0.243 0.761 0.767
Hg1 0.254 0.721 0.155
Hg2 0.746 0.279 0.845
Hg3 0.500 0.000 0.000
Hg4 0.746 0.566 0.721
Hg5 0.254 0.845 0.566
Hg6 0.755 0.333 0.667
Hg7 0.245 0.667 0.333
Hg8 0.746 0.155 0.434
Hg9 0.254 0.434 0.279

Computed properties:
Space group: P-3

=====

2:
Entry from Alexandria via LeMat-Bulk: K4Hg3 after structural relaxation (GGA-PBE).

a b c (Å): 5.469 5.480 12.451
angles (deg): 102.37 90.00 119.94
Element x y z (fractional)
K1 0.209 0.418 0.627
K2 0.948 0.896 0.842
K3 0.791 0.582 0.373
K4 0.052 0.104 0.158
Hg1 0.500 0.000 0.500
Hg2 0.332 0.664 0.996
Hg3 0.668 0.336 0.004

Computed properties:
Space group: C2/m

=====

Relative energies, meV/atom: 1 0; 2 41.

=====

1:
Entry from Alexandria via LeMat-Bulk: K5Hg4 after structural relaxation (GGA-PBE).

a b c (Å): 5.190 6.889 11.880
angles (deg): 77.21 77.38 67.87
Element x y z (fractional)
Hg1 0.604 0.405 0.386
Hg2 0.457 0.258 0.828
Hg3 0.543 0.742 0.172
Hg4 0.396 0.595 0.614
K1 0.246 0.334 0.174
K2 0.754 0.666 0.826
K3 0.889 0.824 0.398
K4 0.111 0.176 0.602
K5 0.000 0.000 0.000

Computed properties:
Space group: C2/m

=====

2:
Entry from Alexandria via LeMat-Bulk: K5Hg4 after structural relaxation (GGA-PBE).

a b c (Å): 8.356 8.356 8.356
angles (deg): 96.67 96.67 140.14
Element x y z (fractional)
K1 0.679 0.679 0.359
K2 0.321 0.321 0.641
K3 0.000 0.000 0.000
K4 0.679 0.321 0.000
K5 0.321 0.679 0.000
Hg1 0.348 0.000 0.348
Hg2 0.000 0.652 0.652
Hg3 0.000 0.348 0.348
Hg4 0.652 0.000 0.652

Computed properties:
Space group: I4/mmm

=====

Relative energies, meV/atom: 1 0; 2 110.

=====

1:
Entry from Alexandria via LeMat-Bulk: K3Hg4 after structural relaxation (GGA-PBE).

a b c (Å): 4.865 6.770 16.737
angles (deg): 89.99 90.00 111.07
Element x y z (fractional)
Hg1 0.590 0.179 0.903
Hg2 0.729 0.458 0.750
Hg3 0.273 0.547 0.250
Hg4 0.413 0.826 0.403
Hg5 0.001 0.002 0.000
Hg6 0.590 0.179 0.598
Hg7 0.001 0.002 0.500
Hg8 0.412 0.825 0.098
K1 0.700 0.400 0.099
K2 0.014 0.029 0.750
K3 0.302 0.604 0.902
K4 0.302 0.604 0.599
K5 0.700 0.401 0.402
K6 0.988 0.976 0.250

Computed properties:
Space group: C2/m

=====

2:
Entry from Alexandria via LeMat-Bulk: K3Hg4 after structural relaxation (GGA-PBE).

a b c (Å): 7.464 7.464 5.879
angles (deg): 90.00 90.00 120.00
Element x y z (fractional)
Hg1 0.333 0.667 0.500
Hg2 0.667 0.333 0.500
Hg3 0.000 0.000 0.749
Hg4 0.000 0.000 0.251
K1 0.000 0.500 0.000
K2 0.500 0.500 0.000
K3 0.500 0.000 0.000

Computed properties:
Space group: P6/mmm

=====

Relative energies, meV/atom: 1 0; 2 183.